No. 1
Sr4AcGa4 | PBE | optimized geometry

Unit cell a=9.9240 b=9.9240 c=6.6286 alpha=90.00 beta=90.00 gamma=90.00
Space group P4_2/n (No. 86, origin choice 2)
Unique sites:
Sr1 0.0652 0.6630 0.1236 (multiplicity 8)
Ac1 0.2500 0.2500 0.2500 (multiplicity 2)
Ga1 0.0151 0.6063 0.6044 (multiplicity 8)

Properties
Its total energy is -50.175 eV for the cell shown. The value obtained for the total magnetization is 0.00 Bohr magnetons per cell. The calculation puts the calculated formation energy at -0.24 eV/atom.


No. 2
SrAc2Ga6 | PBE | optimized geometry

Unit cell a=7.6066 b=7.6066 c=4.7099 alpha=90.00 beta=90.00 gamma=120.00
Space group P6/mmm (No. 191)
Unique sites:
Sr1 0.0000 0.0000 0.0000 (multiplicity 1)
Ac1 0.3333 0.6667 0.0000 (multiplicity 2)
Ga1 0.0000 0.3337 0.5000 (multiplicity 6)

Properties
Its total energy is -33.368 eV for the cell shown. For the energy above the most stable polymorph in this dataset, the calculation gives 0 meV/atom. The value obtained for the total magnetization is 0.00 Bohr magnetons per cell. The calculation puts the calculated formation energy at -0.59 eV/atom.


No. 3
SrAc2Ga | PBE | optimized geometry

Unit cell a=4.2128 b=14.5034 c=10.2790 alpha=90.00 beta=90.00 gamma=90.00
Space group Cmcm (No. 63)
Unique sites:
Sr1 0.0000 0.0601 0.2500 (multiplicity 4)
Ac1 0.0000 0.3532 0.0561 (multiplicity 8)
Ga1 0.0000 0.2633 0.7500 (multiplicity 4)

Properties
Its total energy is -54.411 eV for the cell shown. For the energy above the most stable polymorph in this dataset, the calculation gives 12 meV/atom. The value obtained for the total magnetization is 0.00 Bohr magnetons per cell. The calculation puts the calculated formation energy at -0.17 eV/atom.


No. 4
SrAc3Ga8 | PBE | optimized geometry

Unit cell a=5.8576 b=5.8576 c=28.8989 alpha=90.00 beta=90.00 gamma=120.00
Space group R3m (No. 160, hexagonal axes)
Unique sites:
Sr1 0.0000 0.0000 0.0000 (multiplicity 3)
Ac1 0.0000 0.0000 0.1234 (multiplicity 3)
Ac2 0.0000 0.0000 0.5008 (multiplicity 3)
Ac3 0.0000 0.0000 0.6266 (multiplicity 3)
Ga1 0.0000 0.0000 0.3132 (multiplicity 3)
Ga2 0.0000 0.0000 0.8124 (multiplicity 3)
Ga3 0.0012 0.5006 0.0632 (multiplicity 9)
Ga4 0.1676 0.3352 0.8958 (multiplicity 9)

Properties
Its total energy is -130.727 eV for the cell shown. The value obtained for the total magnetization is 0.00 Bohr magnetons per cell. The calculation puts the calculated formation energy at -0.45 eV/atom.


No. 5
SrAcGa2 | PBE | optimized geometry

Unit cell a=4.0859 b=4.0859 c=28.0490 alpha=90.00 beta=90.00 gamma=120.00
Space group R-3m (No. 166, hexagonal axes)
Unique sites:
Sr1 0.0000 0.0000 0.0000 (multiplicity 3)
Ac1 0.0000 0.0000 0.5000 (multiplicity 3)
Ga1 0.0000 0.0000 0.2498 (multiplicity 6)

Properties
Its total energy is -37.907 eV for the cell shown. The value obtained for the total magnetization is 0.00 Bohr magnetons per cell. The calculation puts the calculated formation energy at -0.20 eV/atom.


No. 6
SrAc2Ga | PBE | optimized geometry

Unit cell a=4.1059 b=4.1059 c=34.7386 alpha=90.00 beta=90.00 gamma=120.00
Space group R-3m (No. 166, hexagonal axes)
Unique sites:
Sr1 0.0000 0.0000 0.0000 (multiplicity 3)
Ac1 0.0000 0.0000 0.2304 (multiplicity 6)
Ga1 0.0000 0.0000 0.5000 (multiplicity 3)

Properties
Its total energy is -40.037 eV for the cell shown. For the energy above the most stable polymorph in this dataset, the calculation gives 77 meV/atom. The value obtained for the total magnetization is 0.00 Bohr magnetons per cell. The calculation puts the calculated formation energy at -0.11 eV/atom.


No. 7
Sr3Ac3Tl2Ga | PBE | optimized geometry

Unit cell a=9.2775 b=9.2775 c=4.6399 alpha=90.00 beta=90.00 gamma=120.00
Space group P-62m (No. 189)
Unique sites:
Sr1 0.0000 0.4137 0.0000 (multiplicity 3)
Ac1 0.0000 0.7563 0.5000 (multiplicity 3)
Tl1 0.3333 0.6667 0.5000 (multiplicity 2)
Ga1 0.0000 0.0000 0.0000 (multiplicity 1)

Properties
Its total energy is -27.764 eV for the cell shown. The value obtained for the total magnetization is 0.00 Bohr magnetons per cell. The calculation puts the calculated formation energy at -0.29 eV/atom.


No. 8
SrAcTlGa | PBE | optimized geometry

Unit cell a=8.0599 b=8.0599 c=8.0599 alpha=90.00 beta=90.00 gamma=90.00
Space group F-43m (No. 216)
Unique sites:
Sr1 0.0000 0.0000 0.0000 (multiplicity 4)
Ac1 0.0000 0.0000 0.5000 (multiplicity 4)
Tl1 0.2500 0.2500 0.7500 (multiplicity 4)
Ga1 0.2500 0.2500 0.2500 (multiplicity 4)

Properties
Its total energy is -50.730 eV for the cell shown. The value obtained for the total magnetization is 0.00 Bohr magnetons per cell. The calculation puts the calculated formation energy at -0.37 eV/atom.


No. 9
SrAcZn2Ga2 | PBE | optimized geometry

Unit cell a=4.5639 b=4.5639 c=8.5748 alpha=90.00 beta=90.00 gamma=120.00
Space group P-3m1 (No. 164)
Unique sites:
Sr1 0.0000 0.0000 0.0000 (multiplicity 1)
Ac1 0.0000 0.0000 0.5000 (multiplicity 1)
Zn1 0.3333 0.6667 0.2495 (multiplicity 2)
Ga1 0.3333 0.6667 0.7428 (multiplicity 2)

Properties
Its total energy is -16.932 eV for the cell shown. The value obtained for the total magnetization is 0.00 Bohr magnetons per cell. The calculation puts the calculated formation energy at -0.42 eV/atom.


No. 10
AcTb2Ga | PBE | optimized geometry

Unit cell a=3.6395 b=3.6395 c=34.4268 alpha=90.00 beta=90.00 gamma=120.00
Space group R-3m (No. 166, hexagonal axes)
Unique sites:
Ac1 0.0000 0.0000 0.0000 (multiplicity 3)
Tb1 0.0000 0.0000 0.1054 (multiplicity 6)
Ga1 0.0000 0.0000 0.5000 (multiplicity 3)

Properties
Its total energy is -49.555 eV for the cell shown. For the energy above the most stable polymorph in this dataset, the calculation gives 217 meV/atom. The value obtained for the total magnetization is 0.00 Bohr magnetons per cell. The calculation puts the calculated formation energy at -0.03 eV/atom.


No. 11
Ac2TbGa2 | PBE | optimized geometry

Unit cell a=12.6494 b=4.8730 c=11.6523 alpha=90.00 beta=119.89 gamma=90.00
Space group C2/m (No. 12)
Unique sites:
Ac1 0.0180 0.0000 0.1822 (multiplicity 4)
Ac2 0.1869 0.0000 0.5991 (multiplicity 4)
Tb1 0.2144 0.5000 0.8662 (multiplicity 4)
Ga1 0.0217 0.5000 0.3991 (multiplicity 4)
Ga2 0.1261 0.5000 0.0664 (multiplicity 4)

Properties
Its total energy is -84.075 eV for the cell shown. For the energy above the most stable polymorph in this dataset, the calculation gives 0 meV/atom. The value obtained for the total magnetization is 0.00 Bohr magnetons per cell. The calculation puts the calculated formation energy at -0.42 eV/atom.


No. 12
Ac2TbGa2 | PBE | optimized geometry

Unit cell a=4.7300 b=6.7761 c=9.8043 alpha=90.00 beta=90.00 gamma=90.00
Space group Immm (No. 71)
Unique sites:
Ac1 0.0000 0.0000 0.1997 (multiplicity 4)
Tb1 0.0000 0.5000 0.0000 (multiplicity 2)
Ga1 0.0000 0.2895 0.5000 (multiplicity 4)

Properties
Its total energy is -41.835 eV for the cell shown. For the energy above the most stable polymorph in this dataset, the calculation gives 20 meV/atom. The value obtained for the total magnetization is 0.00 Bohr magnetons per cell. The calculation puts the calculated formation energy at -0.40 eV/atom.


No. 13
AcTb2Ga2 | PBE | optimized geometry

Unit cell a=12.9910 b=3.9089 c=5.8906 alpha=90.00 beta=102.14 gamma=90.00
Space group C2/m (No. 12)
Unique sites:
Ac1 0.0000 0.0000 0.0000 (multiplicity 2)
Tb1 0.1400 0.5000 0.5685 (multiplicity 4)
Ga1 0.2158 0.5000 0.1167 (multiplicity 4)

Properties
Its total energy is -42.501 eV for the cell shown. The value obtained for the total magnetization is 0.00 Bohr magnetons per cell. The calculation puts the calculated formation energy at -0.37 eV/atom.


No. 14
AcTbGa | PBE | optimized geometry

Unit cell a=11.5558 b=11.5558 c=5.8982 alpha=90.00 beta=90.00 gamma=90.00
Space group I4/mmm (No. 139)
Unique sites:
Ac1 0.0000 0.2435 0.0000 (multiplicity 8)
Tb1 0.1872 0.1872 0.5000 (multiplicity 8)
Ga1 0.0000 0.3843 0.5000 (multiplicity 8)

Properties
Its total energy is -97.039 eV for the cell shown. For the energy above the most stable polymorph in this dataset, the calculation gives 244 meV/atom. The value obtained for the total magnetization is 0.00 Bohr magnetons per cell. The calculation puts the calculated formation energy at -0.12 eV/atom.


No. 15
AcTbGa3 | PBE | optimized geometry

Unit cell a=4.5346 b=26.2116 c=4.3016 alpha=90.00 beta=90.00 gamma=90.00
Space group Cmcm (No. 63)
Unique sites:
Ac1 0.0000 0.0756 0.2500 (multiplicity 4)
Tb1 0.0000 0.2037 0.7500 (multiplicity 4)
Ga1 0.0000 0.3199 0.7500 (multiplicity 4)
Ga2 0.0000 0.3763 0.2500 (multiplicity 4)
Ga3 0.0000 0.4754 0.2500 (multiplicity 4)

Properties
Its total energy is -83.712 eV for the cell shown. The value obtained for the total magnetization is 0.00 Bohr magnetons per cell. The calculation puts the calculated formation energy at -0.62 eV/atom.


No. 16
AcTbGa | PBE | optimized geometry

Unit cell a=3.7238 b=3.7238 c=13.4092 alpha=90.00 beta=90.00 gamma=90.00
Space group I4mm (No. 107)
Unique sites:
Ac1 0.0000 0.0000 0.0000 (multiplicity 2)
Tb1 0.0000 0.0000 0.2840 (multiplicity 2)
Ga1 0.0000 0.0000 0.6636 (multiplicity 2)

Properties
Its total energy is -25.276 eV for the cell shown. For the energy above the most stable polymorph in this dataset, the calculation gives 74 meV/atom. The value obtained for the total magnetization is 0.00 Bohr magnetons per cell. The calculation puts the calculated formation energy at -0.29 eV/atom.


No. 17
AcTb2Ga4 | PBE | optimized geometry

Unit cell a=4.2441 b=4.4834 c=18.5750 alpha=90.00 beta=90.00 gamma=90.00
Space group Immm (No. 71)
Unique sites:
Ac1 0.0000 0.0000 0.0000 (multiplicity 2)
Tb1 0.0000 0.5000 0.3150 (multiplicity 4)
Ga1 0.0000 0.0000 0.4296 (multiplicity 4)
Ga2 0.0000 0.5000 0.1506 (multiplicity 4)

Properties
Its total energy is -59.635 eV for the cell shown. The value obtained for the total magnetization is 0.00 Bohr magnetons per cell. The calculation puts the calculated formation energy at -0.62 eV/atom.


No. 18
Ac12Tb5Ga3 | PBE | optimized geometry

Unit cell a=19.3195 b=19.3195 c=19.3195 alpha=90.00 beta=90.00 gamma=90.00
Space group Ia-3d (No. 230)
Unique sites:
Ac1 0.0181 0.0875 0.6467 (multiplicity 96)
Tb1 0.0000 0.0000 0.0000 (multiplicity 16)
Tb2 0.0000 0.2500 0.3750 (multiplicity 24)
Ga1 0.0000 0.2500 0.1250 (multiplicity 24)

Properties
Its total energy is -541.714 eV for the cell shown. The value obtained for the total magnetization is 0.00 Bohr magnetons per cell. The calculation puts the calculated formation energy at 0.69 eV/atom.


No. 19
AcTb2Ga | PBE | optimized geometry

Unit cell a=3.6382 b=3.6382 c=9.1785 alpha=90.00 beta=90.00 gamma=90.00
Space group P4/mmm (No. 123)
Unique sites:
Ac1 0.0000 0.0000 0.0000 (multiplicity 1)
Tb1 0.5000 0.5000 0.3046 (multiplicity 2)
Ga1 0.0000 0.0000 0.5000 (multiplicity 1)

Properties
Its total energy is -17.384 eV for the cell shown. For the energy above the most stable polymorph in this dataset, the calculation gives 0 meV/atom. The value obtained for the total magnetization is 0.00 Bohr magnetons per cell. The calculation puts the calculated formation energy at -0.25 eV/atom.


No. 20
AcTb2Ga | PBE | optimized geometry

Unit cell a=7.7663 b=7.7663 c=7.7663 alpha=90.00 beta=90.00 gamma=90.00
Space group Fm-3m (No. 225)
Unique sites:
Ac1 0.0000 0.0000 0.0000 (multiplicity 4)
Tb1 0.2500 0.2500 0.2500 (multiplicity 8)
Ga1 0.0000 0.0000 0.5000 (multiplicity 4)

Properties
Its total energy is -64.856 eV for the cell shown. For the energy above the most stable polymorph in this dataset, the calculation gives 293 meV/atom. The value obtained for the total magnetization is 0.01 Bohr magnetons per cell. The calculation puts the calculated formation energy at 0.05 eV/atom.


No. 21
AcTbGa | PBE | optimized geometry

Unit cell a=7.3729 b=7.3729 c=7.3729 alpha=90.00 beta=90.00 gamma=90.00
Space group F-43m (No. 216)
Unique sites:
Ac1 0.0000 0.0000 0.0000 (multiplicity 4)
Tb1 0.0000 0.0000 0.5000 (multiplicity 4)
Ga1 0.2500 0.2500 0.7500 (multiplicity 4)

Properties
Its total energy is -49.242 eV for the cell shown. For the energy above the most stable polymorph in this dataset, the calculation gives 184 meV/atom. The value obtained for the total magnetization is 0.00 Bohr magnetons per cell. The calculation puts the calculated formation energy at -0.18 eV/atom.


No. 22
AcTb2Ga | PBE | optimized geometry

Unit cell a=4.9791 b=4.9791 c=18.3428 alpha=90.00 beta=90.00 gamma=120.00
Space group R3m (No. 160, hexagonal axes)
Unique sites:
Ac1 0.0000 0.0000 0.0000 (multiplicity 3)
Tb1 0.0000 0.0000 0.5523 (multiplicity 3)
Tb2 0.0000 0.0000 0.7863 (multiplicity 3)
Ga1 0.0000 0.0000 0.1902 (multiplicity 3)

Properties
Its total energy is -50.338 eV for the cell shown. For the energy above the most stable polymorph in this dataset, the calculation gives 151 meV/atom. The value obtained for the total magnetization is 0.00 Bohr magnetons per cell. The calculation puts the calculated formation energy at -0.10 eV/atom.